# 1
## CsAsIr (PBE-GGA)

Data for a relaxed CsAsIr crystal.

Unit cell a=6.8562 b=6.8562 c=6.8562 alpha=90.00 beta=90.00 gamma=90.00
Space group F-43m (No. 216)
Symmetry-distinct sites (fractional):
Cs1 0.0000 0.0000 0.0000
As1 0.0000 0.0000 0.5000
Ir1 0.2500 0.2500 0.7500

Properties
volume = 322.30 Å³/cell

***

# 2
## NdYAgS3 (PBE-GGA)

Data for a relaxed NdYAgS3 crystal.

Unit cell a=17.1926 b=3.8434 c=8.2151 alpha=90.00 beta=102.76 gamma=90.00
Space group C2/m (No. 12)
Symmetry-distinct sites (fractional):
Nd1 0.1351 0.0000 0.0729
Y1 0.1641 0.0000 0.5903
Ag1 0.0279 0.5000 0.7159
S1 0.0000 0.0000 0.5000
S2 0.0000 0.5000 0.0000
S3 0.1708 0.5000 0.3489
S4 0.1856 0.5000 0.8426

Properties
volume = 529.42 Å³/cell

***

# 3
## PaBOs (PBE-GGA)

Data for a relaxed PaBOs crystal.

Unit cell a=5.8677 b=5.8677 c=5.8677 alpha=90.00 beta=90.00 gamma=90.00
Space group F-43m (No. 216)
Symmetry-distinct sites (fractional):
Pa1 0.0000 0.0000 0.0000
B1 0.2500 0.2500 0.7500
Os1 0.0000 0.0000 0.5000

Properties
ΔE to the lowest computed polymorph = 0.0 meV per atom
volume = 202.02 Å³/cell

***

# 4
## Mg2Nb (PBE-GGA)

Data for a relaxed Mg2Nb crystal.

Unit cell a=7.7409 b=7.7409 c=7.7409 alpha=90.00 beta=90.00 gamma=90.00
Space group Fd-3m (No. 227, origin choice 2)
Symmetry-distinct sites (fractional):
Mg1 0.0000 0.0000 0.0000
Nb1 0.1250 0.1250 0.6250

Properties
volume = 463.84 Å³/cell

***

| no. | raw total energy (eV/atom) | mass density (Mg/m³) |
| --- | --- | --- |
| 1 | -3.79 | 8.24 |
| 2 | -5.94 | 5.49 |
| 3 | -8.99 | 14.21 |
| 4 | -3.98 | 4.05 |